Entry 1:
TcAsSe2 | PBE | optimized geometry

Summary:
Its calculated density is 6.86 Mg/m³. The value obtained for the distance to the lowest polymorph of the same formula is 0.1901 eV per atom. The uncorrected formation energy is 129 meV/atom.

Lattice parameters (Å, degrees): 3.111 4.333 11.885 90.00 90.00 90.00
Space group Immm (No. 71)
Unique sites:
Tc 0.000 0.000 0.000 [2 per cell]
As 0.000 0.000 0.500 [2 per cell]
Se 0.000 0.500 0.327 [4 per cell]

Entry 2:
TcAsSe2 | PBE | optimized geometry

Summary:
Its calculated density is 7.03 Mg/m³. The value obtained for the distance to the lowest polymorph of the same formula is 0.3745 eV per atom. The uncorrected formation energy is 313 meV/atom.

Lattice parameters (Å, degrees): 3.192 4.767 10.268 90.00 90.00 90.00
Space group Cmm2 (No. 35)
Unique sites:
Tc 0.000 0.000 0.000 [2 per cell]
As 0.000 0.500 0.806 [2 per cell]
Se 0.000 0.000 0.509 [2 per cell]
Se 0.000 0.500 0.196 [2 per cell]

Entry 3:
TcAs4Se | PBE | optimized geometry

Summary:
Its calculated density is 6.65 Mg/m³. The uncorrected formation energy is 833 meV/atom.

Lattice parameters (Å, degrees): 7.807 7.807 7.807 90.00 90.00 90.00
Space group F-43m (No. 216)
Unique sites:
Tc 0.000 0.000 0.000 [4 per cell]
As 0.125 0.125 0.625 [16 per cell]
Se 0.250 0.250 0.250 [4 per cell]

Which value of calculated density does entry 1 give?
6.86 Mg/m³

Look up the calculated density of the first one.
6.86 Mg/m³

The lowest calculated density belongs to which entry?
TcAs4Se

Which of these has the lowest calculated density?
TcAs4Se